1.
## Pr4SmTm2 (PBE-GGA)

Data for a geometry-optimized Pr4SmTm2 structure.

ΔH_f (0 K): 64 meV per atom
mass density: 7.262 Mg/m³
density of states at the Fermi level: 1.513 states/eV per atom

Unit cell a=12.094 b=24.474 c=6.501 alpha=90.00 beta=90.00 gamma=90.00
Space group Fdd2 (No. 43)
One atom of each set of equivalent atoms:
Pr 0.050 0.429 0.000 (multiplicity 16)
Pr 0.067 0.356 0.473 (multiplicity 16)
Sm 0.000 0.000 0.007 (multiplicity 8)
Tm 0.025 0.283 0.949 (multiplicity 16)



2.
## InOsF2 (PBE-GGA)

Data for a geometry-optimized InOsF2 structure.

mass density: 8.389 Mg/m³
formation energy (no corrections): -0.22 eV per atom
density of states at the Fermi level: 1.090 states/eV per atom

Unit cell a=7.156 b=7.156 c=5.304 alpha=90.00 beta=90.00 gamma=90.00
Space group I-42d (No. 122)
One atom of each set of equivalent atoms:
In 0.000 0.000 0.000 (multiplicity 4)
Os 0.000 0.000 0.500 (multiplicity 4)
F 0.146 0.250 0.625 (multiplicity 8)